Here is a relaxed SrBeCoO4 crystal from Alexandria via LeMat-Bulk. Energies are from GGA+U.

The value obtained for the final energy is -86.75 eV per cell.

The structure belongs to space group I-4 (No. 82); the cell edges are 5.359, 5.359 and 6.334 Å and the angles 90.00°, 90.00° and 90.00°. The distinct sites, in fractional coordinates, are Sr at (0.000, 0.000, 0.000), Be at (0.000, 0.000, 0.500), Co at (0.000, 0.500, 0.250) and O at (0.133, 0.782, 0.351).